[1]
An optimized crystal structure of AsPbS3. Source: Alexandria, functional PBE-GGA.

a = 6.9787 Å, b = 7.7156 Å, c = 11.5547 Å
α = 90.00°, β = 124.47°, γ = 90.00°
With the nearest neighbours (Å) after each atom.
Space group Pc (No. 7)
Unique sites:
As 0.0000 0.1355 0.0000 x2  3 S 2.17-2.18
As 0.2910 0.3642 0.1433 x2  3 S 2.17-2.18
Pb 0.3659 0.1331 0.8250 x2  8 S 3.00-3.29
Pb 0.9266 0.3673 0.3199 x2  8 S 2.99-3.27
S 0.0646 0.4361 0.6381 x2  1 As 2.18
S 0.2267 0.0639 0.5050 x2  1 As 2.18
S 0.4322 0.4494 0.0265 x2  1 As 2.18
S 0.5440 0.2452 0.3448 x2  1 As 2.17
S 0.7473 0.2549 0.7987 x2  1 As 2.17
S 0.8579 0.0503 0.1163 x2  1 As 2.17

Output
* formation energy from raw total energies: -0.2238 eV/atom
* D(E_F): 0.00 states/eV/cell
* total energy: -87.44 eV for the cell shown


[2]
An optimized crystal structure of CaBe2Ir. Source: Alexandria, functional PBE-GGA.

a = 5.5108 Å, b = 6.8807 Å, c = 2.9460 Å
α = 90.00°, β = 90.00°, γ = 90.00°
With the nearest neighbours (Å) after each atom.
Space group Cmmm (No. 65)
Unique sites:
Ca 0.0000 0.0000 0.0000 x2  8 Be 2.65, 2 Ir 2.76, 2 Ca 2.95
Be 0.2500 0.2500 0.5000 x4  4 Ca 2.65, 4 Ir 2.65, 4 Be 2.76-2.95
Ir 0.0000 0.5000 0.0000 x2  8 Be 2.65, 2 Ca 2.76, 2 Ir 2.95

Output
* D(E_F): 4.66 states/eV/cell
* total energy: -34.24 eV for the cell shown
* polymorph energy (0 for the lowest one): 672 meV/atom
* formation enthalpy at 0 K: 299.1 meV per atom


[3]
An optimized crystal structure of Zr2AsC. Source: Alexandria, functional PBE-GGA.

a = 6.3755 Å, b = 6.3755 Å, c = 6.3755 Å
α = 90.00°, β = 90.00°, γ = 90.00°
With the nearest neighbours (Å) after each atom.
Space group Fm-3m (No. 225)
Unique sites:
Zr 0.2500 0.2500 0.2500 x8  4 As 2.76, 4 C 2.76
As 0.0000 0.0000 0.0000 x4  8 Zr 2.76
C 0.0000 0.0000 0.5000 x4  8 Zr 2.76

Output
* D(E_F): 12.13 states/eV/cell
* total energy: -122.55 eV for the cell shown
* formation enthalpy at 0 K: 83.2 meV per atom


[4]
An optimized crystal structure of HgSbPt2. Source: Alexandria, functional PBE-GGA.

a = 6.6061 Å, b = 3.7524 Å, c = 7.0760 Å
α = 90.00°, β = 107.42°, γ = 90.00°
With the nearest neighbours (Å) after each atom.
Space group C2/m (No. 12)
Unique sites:
Hg 0.0000 0.0000 0.0000 x2  6 Pt 2.82-2.83
Sb 0.0000 0.5000 0.5000 x2  6 Pt 2.69
Pt 0.2440 0.0000 0.7334 x4  3 Sb 2.69, 3 Hg 2.82-2.83

Output
* formation energy from raw total energies: -0.1073 eV/atom
* D(E_F): 2.61 states/eV/cell
* total energy: -33.87 eV for the cell shown


[5]
An optimized crystal structure of ZrTi3Zn. Source: Alexandria, functional PBE-GGA.

a = 4.7165 Å, b = 4.7165 Å, c = 4.7165 Å
α = 90.00°, β = 90.00°, γ = 90.00°
With the nearest neighbours (Å) after each atom.
Space group Pm-3m (No. 221)
Unique sites:
Zr 0.0000 0.0000 0.0000 x1  12 Ti 3.34
Ti 0.0000 0.5000 0.5000 x3  2 Zn 2.36
Zn 0.5000 0.5000 0.5000 x1  6 Ti 2.36

Output
* D(E_F): 5.00 states/eV/cell
* total energy: -30.11 eV for the cell shown
* polymorph energy (0 for the lowest one): 739 meV/atom
* formation enthalpy at 0 K: 679.2 meV per atom


[6]
An optimized crystal structure of MgCrSi2. Source: Alexandria, functional PBE-GGA.

a = 5.4041 Å, b = 7.6680 Å, c = 2.7914 Å
α = 90.00°, β = 90.81°, γ = 90.00°
With the nearest neighbours (Å) after each atom.
Space group C2/m (No. 12)
Unique sites:
Mg 0.0000 0.0000 0.0000 x2  2 Cr 2.70, 8 Si 2.72-2.74, 2 Mg 2.79
Cr 0.0000 0.5000 0.0000 x2  2 Mg 2.70, 8 Si 2.72-2.74, 2 Cr 2.79
Si 0.2500 0.2500 0.5000 x4  4 Si 2.70-2.79, 4 Cr 2.72-2.74, 4 Mg 2.72-2.74

Output
* formation energy from raw total energies: 0.1553 eV/atom
* D(E_F): 4.34 states/eV/cell
* total energy: -42.89 eV for the cell shown


[7]
An optimized crystal structure of TiTc3Ge. Source: Alexandria, functional PBE-GGA.

a = 4.5466 Å, b = 4.5466 Å, c = 4.5466 Å
α = 90.00°, β = 90.00°, γ = 90.00°
With the nearest neighbours (Å) after each atom.
Space group Pm-3m (No. 221)
Unique sites:
Ti 0.0000 0.0000 0.0000 x1  6 Tc 2.27
Tc 0.0000 0.0000 0.5000 x3  2 Ti 2.27
Ge 0.5000 0.5000 0.5000 x1  12 Tc 3.21

Output
* D(E_F): 4.17 states/eV/cell
* total energy: -36.73 eV for the cell shown
* polymorph energy (0 for the lowest one): 371 meV/atom
* formation enthalpy at 0 K: 1376.1 meV per atom


[8]
An optimized crystal structure of NdSmPt6. Source: Alexandria, functional PBE-GGA.

a = 5.3794 Å, b = 5.3794 Å, c = 5.3794 Å
α = 90.00°, β = 90.00°, γ = 90.00°
With the nearest neighbours (Å) after each atom.
Space group Pm-3 (No. 200)
Unique sites:
Nd 0.0000 0.0000 0.0000 x1  12 Pt 3.01
Sm 0.5000 0.5000 0.5000 x1  12 Pt 3.01
Pt 0.0000 0.5000 0.2507 x6  2 Pt 2.68-2.70

Output
* D(E_F): 11.08 states/eV/cell
* total energy: -50.34 eV for the cell shown
* formation enthalpy at 0 K: -575.9 meV per atom


[9]
An optimized crystal structure of Dy6TlTe2Se3. Source: Alexandria, functional PBE-GGA.

a = 18.5162 Å, b = 4.1200 Å, c = 8.6440 Å
α = 90.00°, β = 103.54°, γ = 90.00°
With the nearest neighbours (Å) after each atom.
Space group C2/m (No. 12)
Unique sites:
Dy 0.0050 0.0000 0.2417 x4  3 Se 2.92-2.97, 2 Tl 3.06, 1 Te 3.13
Dy 0.1582 0.5000 0.1008 x4  3 Se 2.85-2.86, 3 Te 3.10-3.12
Dy 0.1673 0.5000 0.5652 x4  3 Se 2.88-2.93, 1 Tl 3.02, 2 Te 3.13
Tl 0.0000 0.5000 0.5000 x2  6 Dy 3.02-3.06
Te 0.1689 0.0000 0.8385 x4  6 Dy 3.10-3.13
Se 0.0000 0.5000 0.0000 x2  6 Dy 2.85-2.92
Se 0.1700 0.0000 0.3342 x4  6 Dy 2.86-2.97

Output
* formation energy from raw total energies: -1.3613 eV/atom
* D(E_F): 11.36 states/eV/cell
* total energy: -126.10 eV for the cell shown


[10]
An optimized crystal structure of Th2SiAu3. Source: Alexandria, functional PBE-GGA.

a = 3.6716 Å, b = 4.6050 Å, c = 8.0347 Å
α = 90.00°, β = 90.00°, γ = 90.00°
With the nearest neighbours (Å) after each atom.
Space group Pmm2 (No. 25)
Unique sites:
Th 0.0000 0.0000 0.0000 x1  8 Au 3.15-3.27, 4 Si 3.26
Th 0.0000 0.5000 0.4983 x1  2 Si 3.21, 10 Au 3.22-3.37
Si 0.5000 0.5000 0.8267 x1  3 Au 2.57-2.58
Au 0.5000 0.0000 0.3371 x1  3 Au 2.76-2.77
Au 0.5000 0.0000 0.6812 x1  2 Si 2.58, 1 Au 2.76
Au 0.5000 0.5000 0.1463 x1  1 Si 2.57, 2 Au 2.77

Output
* formation energy from raw total energies: -0.6944 eV/atom
* D(E_F): 3.72 states/eV/cell
* total energy: -34.26 eV for the cell shown
* polymorph energy (0 for the lowest one): 15 meV/atom


[11]
An optimized crystal structure of K2CuH5. Source: Alexandria, functional PBE-GGA.

a = 5.6726 Å, b = 5.6726 Å, c = 8.1973 Å
α = 90.00°, β = 90.00°, γ = 90.00°
With the nearest neighbours (Å) after each atom.
Space group I4mm (No. 107)
Unique sites:
K 0.0000 0.5000 0.0000 x4  10 H 2.84-2.97
Cu 0.0000 0.0000 0.2764 x2  4 H 1.53
H 0.0000 0.0000 0.4860 x2  1 Cu 1.72
H 0.1865 0.1865 0.2402 x8  1 Cu 1.53

Output
* D(E_F): 0.00 states/eV/cell
* total energy: -47.07 eV for the cell shown


[12]
An optimized crystal structure of SrLiN3. Source: Alexandria, functional PBE-GGA.

a = 4.8178 Å, b = 4.8178 Å, c = 4.8178 Å
α = 90.00°, β = 90.00°, γ = 90.00°
With the nearest neighbours (Å) after each atom.
Space group Pm-3m (No. 221)
Unique sites:
Sr 0.0000 0.0000 0.0000 x1  6 N 2.41
Li 0.5000 0.5000 0.5000 x1  12 N 3.41
N 0.0000 0.0000 0.5000 x3  2 Sr 2.41

Output
* formation energy from raw total energies: 1.8085 eV/atom
* D(E_F): 3.00 states/eV/cell
* total energy: -19.53 eV for the cell shown


[13]
An optimized crystal structure of La4Si2Ge5. Source: Alexandria, functional PBE-GGA.

a = 7.1155 Å, b = 4.5090 Å, c = 8.1936 Å
α = 90.00°, β = 90.55°, γ = 90.00°
With the nearest neighbours (Å) after each atom.
Space group P2/m (No. 10)
Unique sites:
La 0.2307 0.0000 0.3688 x2  8 Ge 3.14-3.35, 2 Si 3.18
La 0.2496 0.0000 0.8821 x2  6 Ge 3.19-3.42, 4 Si 3.22-3.29
Si 0.0877 0.5000 0.1242 x2  1 Si 2.38, 2 Ge 2.49-2.53
Ge 0.1179 0.5000 0.6252 x2  1 Si 2.53, 1 Ge 2.64
Ge 0.4366 0.5000 0.1526 x2  1 Si 2.49, 1 Ge 2.67
Ge 0.5000 0.5000 0.5000 x1  4 Ge 2.88-2.92, 4 La 3.14

Output
* formation energy from raw total energies: -0.7435 eV/atom
* D(E_F): 5.29 states/eV/cell
* total energy: -61.82 eV for the cell shown


[14]
An optimized crystal structure of Ce3Ag5Br12. Source: Alexandria, functional PBE-GGA.

a = 17.1525 Å, b = 17.1525 Å, c = 17.1525 Å
α = 90.00°, β = 90.00°, γ = 90.00°
With the nearest neighbours (Å) after each atom.
Space group Ia-3d (No. 230)
Unique sites:
Ce 0.0000 0.2500 0.1250 x24  8 Br 3.19-3.25
Ag 0.0000 0.0000 0.0000 x16  6 Br 2.89
Ag 0.0000 0.2500 0.3750 x24  4 Br 2.68
Br 0.0230 0.0678 0.6526 x96  2 Ag 2.68-2.89

Output
* formation energy from raw total energies: -0.9513 eV/atom
* D(E_F): 254.36 states/eV/cell
* total energy: -569.26 eV for the cell shown


[15]
An optimized crystal structure of TmNbNi10. Source: Alexandria, functional PBE-GGA.

a = 3.9663 Å, b = 4.7434 Å, c = 8.2204 Å
α = 90.00°, β = 90.00°, γ = 90.00°
With the nearest neighbours (Å) after each atom.
Space group Pmmm (No. 47)
Unique sites:
Tm 0.0000 0.0000 0.0000 x1  10 Ni 2.79-3.09
Nb 0.0000 0.5000 0.5000 x1  6 Ni 2.65-2.71
Ni 0.0000 0.0000 0.3416 x2  7 Ni 2.37-2.60
Ni 0.0000 0.5000 0.1779 x2  6 Ni 2.39-2.46, 1 Nb 2.65
Ni 0.5000 0.0000 0.5000 x1  8 Ni 2.33-2.37
Ni 0.5000 0.2545 0.2577 x4  8 Ni 2.33-2.42
Ni 0.5000 0.5000 0.0000 x1  8 Ni 2.42-2.46

Output
* D(E_F): 15.12 states/eV/cell
* total energy: -74.60 eV for the cell shown
* formation enthalpy at 0 K: -187.3 meV per atom


[16]
An optimized crystal structure of KTl2Si. Source: Alexandria, functional PBE-GGA.

a = 6.6047 Å, b = 11.2947 Å, c = 3.1154 Å
α = 90.00°, β = 90.00°, γ = 90.00°
With the nearest neighbours (Å) after each atom.
Space group Cmmm (No. 65)
Unique sites:
K 0.0000 0.0000 0.0000 x2  2 K 3.12, 2 Si 3.30
Tl 0.2500 0.2500 0.5000 x4  4 Tl 3.12-3.30
Si 0.0000 0.5000 0.0000 x2  2 Si 3.12, 2 K 3.30

Output
* formation energy from raw total energies: 0.3815 eV/atom
* D(E_F): 5.79 states/eV/cell
* total energy: -19.45 eV for the cell shown
* polymorph energy (0 for the lowest one): 264 meV/atom


[17]
An optimized crystal structure of Cs2HfPbS4. Source: Alexandria, functional PBE-GGA.

a = 7.1461 Å, b = 14.9975 Å, c = 24.1001 Å
α = 90.00°, β = 90.00°, γ = 90.00°
With the nearest neighbours (Å) after each atom.
Space group Fddd (No. 70, origin choice 2)
Unique sites:
Cs 0.1250 0.1250 0.3069 x16  6 S 3.67-4.02
Hf 0.1250 0.1250 0.1250 x8  4 S 2.39
Pb 0.1250 0.1250 0.6250 x8  4 S 2.86
S 0.0770 0.2827 0.4295 x32  1 Hf 2.39

Output
* formation energy from raw total energies: -1.1951 eV/atom
* D(E_F): 0.00 states/eV/cell
* total energy: -331.52 eV for the cell shown


[18]
An optimized crystal structure of La2ScCd3. Source: Alexandria, functional PBE-GGA.

a = 6.1889 Å, b = 6.1889 Å, c = 9.7885 Å
α = 90.00°, β = 90.00°, γ = 120.00°
With the nearest neighbours (Å) after each atom.
Space group P6_3/mmc (No. 194)
Unique sites:
La 0.3333 0.6667 0.0674 x4  9 Cd 3.56-3.57, 4 La 3.58-3.81, 3 Sc 3.63
Sc 0.0000 0.0000 0.0000 x2  6 Cd 3.06
Cd 0.1711 0.3422 0.7500 x6  4 Cd 3.01-3.18, 2 Sc 3.06

Output
* D(E_F): 15.16 states/eV/cell
* total energy: -41.13 eV for the cell shown
* formation enthalpy at 0 K: -272.5 meV per atom


[19]
An optimized crystal structure of SmGdCoAg. Source: Alexandria, functional PBE-GGA.

a = 7.1088 Å, b = 7.1088 Å, c = 7.1088 Å
α = 90.00°, β = 90.00°, γ = 90.00°
With the nearest neighbours (Å) after each atom.
Space group F-43m (No. 216)
Unique sites:
Sm 0.0000 0.0000 0.0000 x4  4 Ag 3.08, 4 Co 3.08
Gd 0.0000 0.0000 0.5000 x4  4 Co 3.08, 4 Ag 3.08
Co 0.2500 0.2500 0.7500 x4  4 Gd 3.08, 4 Sm 3.08
Ag 0.2500 0.2500 0.2500 x4  4 Gd 3.08, 4 Sm 3.08

Output
* D(E_F): 13.40 states/eV/cell
* total energy: -117.03 eV for the cell shown
* formation enthalpy at 0 K: -125.0 meV per atom


[20]
An optimized crystal structure of Pr12Sm5Dy. Source: Alexandria, functional PBE-GGA.

a = 15.6183 Å, b = 15.6191 Å, c = 5.2127 Å
α = 90.00°, β = 90.00°, γ = 90.00°
With the nearest neighbours (Å) after each atom.
Space group Cmmm (No. 65)
Unique sites:
Pr 0.0000 0.1646 0.0000 x4  2 Sm 3.65, 2 Dy 3.66, 8 Pr 3.68-3.71
Pr 0.0000 0.3340 0.5000 x4  4 Sm 3.67-3.68, 8 Pr 3.68-3.71
Pr 0.1664 0.1651 0.5000 x8  1 Dy 3.66, 3 Sm 3.67, 8 Pr 3.68-3.72
Pr 0.1666 0.3343 0.0000 x8  4 Sm 3.67-3.68, 8 Pr 3.68-3.71
Sm 0.0000 0.5000 0.0000 x2  8 Pr 3.67-3.68, 4 Sm 3.68
Sm 0.1662 0.0000 0.0000 x4  8 Pr 3.65-3.68, 2 Dy 3.68, 2 Sm 3.69
Sm 0.1666 0.5000 0.5000 x4  8 Pr 3.67, 4 Sm 3.68-3.69
Dy 0.0000 0.0000 0.5000 x2  8 Pr 3.66, 4 Sm 3.68

Output
* D(E_F): 58.75 states/eV/cell
* total energy: -170.56 eV for the cell shown
* formation enthalpy at 0 K: 15.0 meV per atom


[21]
An optimized crystal structure of Rb2Ta2Pb. Source: Alexandria, functional PBE-GGA.

a = 4.3878 Å, b = 4.3878 Å, c = 16.5172 Å
α = 90.00°, β = 90.00°, γ = 90.00°
With the nearest neighbours (Å) after each atom.
Space group I4/mmm (No. 139)
Unique sites:
Rb 0.0000 0.5000 0.2500 x4  4 Rb 3.10
Ta 0.0000 0.0000 0.0688 x4  1 Ta 2.27
Pb 0.0000 0.0000 0.5000 x2  8 Ta 3.30

Output
* D(E_F): 6.35 states/eV/cell
* total energy: -44.12 eV for the cell shown
* polymorph energy (0 for the lowest one): 39 meV/atom
* formation enthalpy at 0 K: 1457.5 meV per atom